A plane-wave DFT calculation with PBE was carried out for crystalline Cs2Li2TeO6 at its relaxed geometry.

abc: 5.9365 5.9365 6.8737
angles: 90.00 90.00 120.00
Space group P-3m1 (No. 164)
Unique sites:
Cs1 0.3333 0.6667 0.3312 (multiplicity 2)
Li1 0.3333 0.6667 0.8633 (multiplicity 2)
Te1 0.0000 0.0000 0.0000 (multiplicity 1)
O1 0.1531 0.3062 0.8358 (multiplicity 6)

Computed properties:
The calculation puts the total energy at -4.762 eV/atom. The total magnetization comes out at 2.01 μB per formula unit.